(1)
DFT (PBE-GGA) results for an optimized crystal structure of HgH2O.

```
HgH2O
1.0
4.726 0.000 0.000
0.000 4.726 0.000
2.363 2.363 3.345
O H Hg
2 4 2
Direct
0.500 0.500 0.000
0.250 0.750 0.500
0.375 0.625 0.250
0.375 0.125 0.250
0.375 0.625 0.750
0.875 0.625 0.750
0.000 0.000 0.000
0.750 0.250 0.500
```

Output
Polymorph energy (0 for the lowest one) ... 0.0 meV/atom
Total magnetization ... 0.00 μB/atom

***

(2)
DFT (PBE-GGA) results for an optimized crystal structure of BeSbAs2H.

```
BeSbAs2H
1.0
3.996 0.000 0.000
0.000 5.176 0.000
0.000 0.000 3.996
Sb As Be H
1 2 1 1
Direct
0.000 0.500 0.000
0.500 0.000 0.000
0.000 0.000 0.500
0.500 0.500 0.500
0.000 0.000 0.000
```

Output
Total magnetization ... 0.00 μB/atom
Uncorrected energy ... -3.364 eV/atom

***

(3)
DFT (PBE-GGA) results for an optimized crystal structure of NaAc2As4Pd3.

```
NaAc2As4Pd3
1.0
4.561 0.000 0.000
0.000 4.561 0.000
0.000 0.000 10.483
Pd Ac As Na
3 2 4 1
Direct
0.000 0.000 0.500
0.000 0.500 0.110
0.500 0.000 0.890
0.000 0.500 0.760
0.500 0.000 0.240
0.000 0.000 0.000
0.000 0.500 0.353
0.500 0.500 0.000
0.500 0.000 0.647
0.500 0.500 0.500
```

Output
Total magnetization ... 0.00 μB/atom
Formation enthalpy at 0 K ... -853 meV per atom